The following is a PBE-GGA calculation of a relaxed structure of Tb5YTe8, from Alexandria.

The calculation puts the electronic total energy at -147.0 eV for the cell shown. For the density of states at the Fermi level, the calculation gives 0.525 states/eV/atom. Its uncorrected formation energy is -1340 meV per atom. The calculated volume is 31.52 Å³/atom. The calculation puts the magnetization at 0.000 μB per atom.

The space group is I-4 (No. 82) and the conventional cell measures 10.005, 10.005 and 8.818 Å, with angles of 90.00, 90.00 and 90.00 degrees. The inequivalent atoms are Tb at (0.000, 0.000, 0.000), Tb at (0.203, 0.750, 0.375), Y at (0.000, 0.500, 0.750), Te at (0.050, 0.693, 0.075) and Te at (0.050, 0.807, 0.675).